Entry from the Alexandria database: an optimized crystal structure of Er3TmIn3 (PBE-GGA).

Properties
As for the polymorph energy (0 for the lowest one): 23.1 meV/atom. The value obtained for the total magnetic moment is 0.0 μB per cell. The formation energy comes out at -0.289 eV per atom.

a b c (Å): 9.2321 9.2321 9.2321
angles (deg): 90.00 90.00 90.00
With the nearest neighbours (Å) after each atom.
Sites, in units of the cell vectors:
Er (0.0723, 0.4277, 0.5723)  6 In 3.12-3.29
Er (0.1748, 0.1748, 0.1748)  6 In 3.11-3.29
Er (0.1748, 0.8252, 0.3252)  6 In 3.11-3.28
Er (0.3252, 0.1748, 0.8252)  6 In 3.11-3.28
Er (0.3252, 0.8252, 0.6748)  6 In 3.11-3.29
Er (0.4277, 0.5723, 0.0723)  6 In 3.12-3.29
Er (0.5723, 0.0723, 0.4277)  6 In 3.12-3.29
Er (0.6748, 0.3252, 0.8252)  6 In 3.11-3.29
Er (0.6748, 0.6748, 0.6748)  6 In 3.11-3.28
Er (0.8252, 0.3252, 0.1748)  6 In 3.11-3.28
Er (0.8252, 0.6748, 0.3252)  6 In 3.11-3.29
Er (0.9277, 0.9277, 0.9277)  6 In 3.12-3.29
Tm (0.0772, 0.5772, 0.9228)  6 In 3.11-3.27
Tm (0.4228, 0.4228, 0.4228)  6 In 3.11-3.27
Tm (0.5772, 0.9228, 0.0772)  6 In 3.11-3.27
Tm (0.9228, 0.0772, 0.5772)  6 In 3.11-3.27
In (0.0008, 0.2530, 0.8741)  2 Tm 3.11-3.27, 6 Er 3.11-3.29
In (0.1259, 0.5008, 0.2470)  2 Tm 3.11-3.27, 6 Er 3.11-3.29
In (0.2470, 0.1259, 0.5008)  2 Tm 3.11-3.27, 6 Er 3.11-3.29
In (0.2530, 0.8741, 0.0008)  2 Tm 3.11-3.27, 6 Er 3.11-3.29
In (0.3741, 0.4992, 0.7470)  2 Tm 3.11-3.27, 6 Er 3.11-3.29
In (0.4992, 0.7470, 0.3741)  2 Tm 3.11-3.27, 6 Er 3.11-3.29
In (0.5008, 0.2470, 0.1259)  2 Tm 3.11-3.27, 6 Er 3.11-3.29
In (0.6259, 0.9992, 0.7530)  2 Tm 3.11-3.27, 6 Er 3.11-3.29
In (0.7470, 0.3741, 0.4992)  2 Tm 3.11-3.27, 6 Er 3.11-3.29
In (0.7530, 0.6259, 0.9992)  2 Tm 3.11-3.27, 6 Er 3.11-3.29
In (0.8741, 0.0008, 0.2530)  2 Tm 3.11-3.27, 6 Er 3.11-3.29
In (0.9992, 0.7530, 0.6259)  2 Tm 3.11-3.27, 6 Er 3.11-3.29

***

Entry from the Alexandria database: an optimized crystal structure of ErTm6In4 (PBE-GGA).

Properties
The value obtained for the total magnetic moment is 1.0 μB per cell. The formation energy comes out at -0.059 eV per atom.

a b c (Å): 7.9210 7.9210 7.9210
angles (deg): 122.54 122.54 85.65
With the nearest neighbours (Å) after each atom.
Sites, in units of the cell vectors:
Er (0.0000, 0.0000, 0.0000)  4 In 3.62, 8 Tm 3.81-3.91
Tm (0.0000, 0.5000, 0.5000)  4 In 2.93
Tm (0.0997, 0.4763, 0.0000)  4 In 2.96-3.26
Tm (0.4763, 0.0997, 0.0000)  4 In 2.96-3.26
Tm (0.5000, 0.0000, 0.5000)  4 In 2.93
Tm (0.5237, 0.5237, 0.6234)  4 In 2.96-3.26
Tm (0.9003, 0.9003, 0.3766)  4 In 2.96-3.26
In (0.2598, 0.2598, 0.6567)  6 Tm 2.93-3.26, 2 In 3.06
In (0.3969, 0.7402, 0.0000)  6 Tm 2.93-3.26, 2 In 3.06
In (0.6031, 0.6031, 0.3433)  6 Tm 2.93-3.26, 2 In 3.06
In (0.7402, 0.3969, 0.0000)  6 Tm 2.93-3.26, 2 In 3.06

***

Entry from the Alexandria database: an optimized crystal structure of Er2Tm6In (PBE-GGA).

Properties
As for the polymorph energy (0 for the lowest one): 40.2 meV/atom. The value obtained for the total magnetic moment is 0.0 μB per cell. The formation energy comes out at -0.028 eV per atom.

a b c (Å): 9.6621 9.6621 6.0280
angles (deg): 95.77 95.77 72.16
With the nearest neighbours (Å) after each atom.
Sites, in units of the cell vectors:
Er (0.0680, 0.2857, 0.0713)  10 Tm 3.36-3.66
Er (0.2857, 0.0680, 0.5713)  10 Tm 3.36-3.66
Er (0.7143, 0.9320, 0.4287)  10 Tm 3.36-3.66
Er (0.9320, 0.7143, 0.9287)  10 Tm 3.36-3.66
Tm (0.0836, 0.8102, 0.4798)  1 In 3.18, 4 Tm 3.39-3.52, 2 Er 3.39-3.53
Tm (0.1516, 0.4324, 0.6353)  4 Tm 3.17-3.46, 1 In 3.24, 3 Er 3.36-3.38
Tm (0.1898, 0.9164, 0.0202)  1 In 3.18, 4 Tm 3.39-3.52, 2 Er 3.39-3.53
Tm (0.2760, 0.5176, 0.1641)  2 In 3.14-3.28, 5 Tm 3.26-3.46, 1 Er 3.41
Tm (0.4324, 0.1516, 0.1353)  4 Tm 3.17-3.46, 1 In 3.24, 3 Er 3.36-3.38
Tm (0.4824, 0.7240, 0.3359)  2 In 3.14-3.28, 5 Tm 3.26-3.46, 1 Er 3.41
Tm (0.5176, 0.2760, 0.6641)  2 In 3.14-3.28, 5 Tm 3.26-3.46, 1 Er 3.41
Tm (0.5676, 0.8484, 0.8647)  4 Tm 3.17-3.46, 1 In 3.24, 3 Er 3.36-3.38
Tm (0.7240, 0.4824, 0.8359)  2 In 3.14-3.28, 5 Tm 3.26-3.46, 1 Er 3.41
Tm (0.8102, 0.0836, 0.9798)  1 In 3.18, 4 Tm 3.39-3.52, 2 Er 3.39-3.53
Tm (0.8484, 0.5676, 0.3647)  4 Tm 3.17-3.46, 1 In 3.24, 3 Er 3.36-3.38
Tm (0.9164, 0.1898, 0.5202)  1 In 3.18, 4 Tm 3.39-3.52, 2 Er 3.39-3.53
In (0.3711, 0.6289, 0.7500)  8 Tm 3.14-3.28
In (0.6289, 0.3711, 0.2500)  8 Tm 3.14-3.28

***

Entry from the Alexandria database: an optimized crystal structure of ErTm8In2 (PBE-GGA).

Properties
The value obtained for the total magnetic moment is 0.0 μB per cell. The formation energy comes out at -0.023 eV per atom.

a b c (Å): 8.6866 8.6866 5.5171
angles (deg): 102.26 102.26 119.49
With the nearest neighbours (Å) after each atom.
Sites, in units of the cell vectors:
Er (0.0000, 0.0000, 0.0000)  8 Tm 3.22-3.58
Tm (0.0950, 0.3237, 0.6235)  2 In 3.13-3.33, 4 Tm 3.33-3.48
Tm (0.2146, 0.7854, 0.0000)  2 In 3.09, 1 Er 3.22
Tm (0.3237, 0.0950, 0.6235)  2 In 3.13-3.33, 4 Tm 3.33-3.48
Tm (0.4031, 0.4031, 0.2023)  2 Tm 3.00-3.32, 1 Er 3.22, 2 In 3.26
Tm (0.5969, 0.5969, 0.7977)  2 Tm 3.00-3.32, 1 Er 3.22, 2 In 3.26
Tm (0.6763, 0.9050, 0.3765)  2 In 3.13-3.33, 4 Tm 3.33-3.48
Tm (0.7854, 0.2146, 0.0000)  2 In 3.09, 1 Er 3.22
Tm (0.9050, 0.6763, 0.3765)  2 In 3.13-3.33, 4 Tm 3.33-3.48
In (0.3068, 0.6932, 0.5000)  8 Tm 3.09-3.33
In (0.6932, 0.3068, 0.5000)  8 Tm 3.09-3.33

***

Entry from the Alexandria database: an optimized crystal structure of Er8Tm2In (PBE-GGA).

Properties
The value obtained for the total magnetic moment is 0.0 μB per cell. The formation energy comes out at -0.054 eV per atom.

a b c (Å): 9.9391 9.9391 6.3361
angles (deg): 94.74 94.74 31.95
With the nearest neighbours (Å) after each atom.
Sites, in units of the cell vectors:
Er (0.0452, 0.0452, 0.2649)  2 In 3.29, 4 Er 3.47-3.64
Er (0.1538, 0.1538, 0.8034)  5 Er 3.31-3.51, 4 Tm 3.53-3.64
Er (0.3379, 0.3379, 0.8781)  1 In 3.13, 2 Tm 3.37, 2 Er 3.39
Er (0.4208, 0.4208, 0.4051)  1 In 3.09, 3 Er 3.16-3.31, 1 Tm 3.39
Er (0.5792, 0.5792, 0.5949)  1 In 3.09, 3 Er 3.16-3.31, 1 Tm 3.39
Er (0.6621, 0.6621, 0.1219)  1 In 3.13, 2 Tm 3.37, 2 Er 3.39
Er (0.8462, 0.8462, 0.1966)  5 Er 3.31-3.51, 4 Tm 3.53-3.64
Er (0.9548, 0.9548, 0.7351)  2 In 3.29, 4 Er 3.47-3.64
Tm (0.2431, 0.2431, 0.3352)  10 Er 3.37-3.77, 2 Tm 3.44
Tm (0.7569, 0.7569, 0.6648)  10 Er 3.37-3.77, 2 Tm 3.44
In (0.5000, 0.5000, 0.0000)  8 Er 3.09-3.29

***

Entry from the Alexandria database: an optimized crystal structure of Er4Tm2In (PBE-GGA).

Properties
As for the polymorph energy (0 for the lowest one): 19.4 meV/atom. The value obtained for the total magnetic moment is 0.0 μB per cell. The formation energy comes out at -0.019 eV per atom.

a b c (Å): 5.5425 6.6853 11.5326
angles (deg): 90.00 103.21 90.00
With the nearest neighbours (Å) after each atom.
Sites, in units of the cell vectors:
Er (0.1070, 0.2500, 0.1384)  3 In 3.22-3.38, 3 Tm 3.27-3.33, 2 Er 3.55
Er (0.2283, 0.7500, 0.4200)  1 In 3.07, 4 Tm 3.20-3.35
Er (0.3405, 0.5083, 0.7084)  5 Er 3.23-3.60, 1 In 3.38, 3 Tm 3.49-3.55
Er (0.3405, 0.9917, 0.7084)  5 Er 3.23-3.60, 1 In 3.38, 3 Tm 3.49-3.55
Er (0.6595, 0.0083, 0.2916)  5 Er 3.23-3.60, 1 In 3.38, 3 Tm 3.49-3.55
Er (0.6595, 0.4917, 0.2916)  5 Er 3.23-3.60, 1 In 3.38, 3 Tm 3.49-3.55
Er (0.7717, 0.2500, 0.5800)  1 In 3.07, 4 Tm 3.20-3.35
Er (0.8930, 0.7500, 0.8616)  3 In 3.22-3.38, 3 Tm 3.27-3.33, 2 Er 3.55
Tm (0.2067, 0.2500, 0.4326)  9 Er 3.20-3.55
Tm (0.4618, 0.7500, 0.0208)  2 In 3.09-3.15, 2 Er 3.27-3.33, 2 Tm 3.42
Tm (0.5382, 0.2500, 0.9792)  2 In 3.09-3.15, 2 Er 3.27-3.33, 2 Tm 3.42
Tm (0.7933, 0.7500, 0.5674)  9 Er 3.20-3.55
In (0.0281, 0.7500, 0.1484)  6 Er 3.07-3.38, 2 Tm 3.09-3.15
In (0.9719, 0.2500, 0.8516)  6 Er 3.07-3.38, 2 Tm 3.09-3.15

***

What did the fourth record say?
Entry from the Alexandria database: an optimized crystal structure of ErTm8In2 (PBE-GGA).

Properties
The value obtained for the total magnetic moment is 0.0 μB per cell. The formation energy comes out at -0.023 eV per atom.

a b c (Å): 8.6866 8.6866 5.5171
angles (deg): 102.26 102.26 119.49
With the nearest neighbours (Å) after each atom.
Sites, in units of the cell vectors:
Er (0.0000, 0.0000, 0.0000)  8 Tm 3.22-3.58
Tm (0.0950, 0.3237, 0.6235)  2 In 3.13-3.33, 4 Tm 3.33-3.48
Tm (0.2146, 0.7854, 0.0000)  2 In 3.09, 1 Er 3.22
Tm (0.3237, 0.0950, 0.6235)  2 In 3.13-3.33, 4 Tm 3.33-3.48
Tm (0.4031, 0.4031, 0.2023)  2 Tm 3.00-3.32, 1 Er 3.22, 2 In 3.26
Tm (0.5969, 0.5969, 0.7977)  2 Tm 3.00-3.32, 1 Er 3.22, 2 In 3.26
Tm (0.6763, 0.9050, 0.3765)  2 In 3.13-3.33, 4 Tm 3.33-3.48
Tm (0.7854, 0.2146, 0.0000)  2 In 3.09, 1 Er 3.22
Tm (0.9050, 0.6763, 0.3765)  2 In 3.13-3.33, 4 Tm 3.33-3.48
In (0.3068, 0.6932, 0.5000)  8 Tm 3.09-3.33
In (0.6932, 0.3068, 0.5000)  8 Tm 3.09-3.33

***

Among the records above, which one has the highest total magnetic moment? ErTm6In4